1.
First-principles (PBE-GGA) data for an optimized crystal structure of Tl2CrOs, as listed in Alexandria via LeMat-Bulk.

Summary:
energy above the lowest structure with this stoichiometry = 482 meV per atom
E = -5.436 eV per atom
M_tot = 3.90 μB per formula unit
space group = I-4m2, No. 119

The structure in POSCAR format:
```
Tl2CrOs
1.0
-2.065 2.065 4.462
2.065 -2.065 4.462
2.065 2.065 -4.462
Tl Cr Os
2 1 1
Direct
0.000 0.000 0.000 Tl
0.750 0.250 0.500 Tl
0.250 0.750 0.500 Cr
0.500 0.500 0.000 Os
```


2.
First-principles (PBE-GGA) data for an optimized crystal structure of TlCrOs2, as listed in Alexandria via LeMat-Bulk.

Summary:
energy above the lowest structure with this stoichiometry = 170 meV per atom
E = -7.895 eV per atom
M_tot = 0.01 μB per formula unit
space group = R3m, No. 160

The structure in POSCAR format:
```
TlCrOs2
1.0
1.419 0.819 9.054
-1.419 0.819 9.054
0.000 -1.638 9.054
Tl Cr Os
1 1 2
Direct
0.000 0.000 0.000 Tl
0.245 0.245 0.245 Cr
0.505 0.505 0.505 Os
0.760 0.760 0.760 Os
```


3.
First-principles (PBE-GGA) data for an optimized crystal structure of TlCrOs2, as listed in Alexandria via LeMat-Bulk.

Summary:
energy above the lowest structure with this stoichiometry = 78 meV per atom
E = -7.987 eV per atom
M_tot = 1.59 μB per formula unit
space group = C2/m, No. 12

The structure in POSCAR format:
```
TlCrOs2
1.0
4.601 -1.438 0.000
4.601 1.438 0.000
-1.077 0.000 4.840
Tl Cr Os
1 1 2
Direct
0.000 0.000 0.000 Tl
0.500 0.500 0.500 Cr
0.228 0.228 0.706 Os
0.772 0.772 0.294 Os
```


4.
First-principles (PBE-GGA) data for an optimized crystal structure of Tl2CrOs, as listed in Alexandria via LeMat-Bulk.

Summary:
energy above the lowest structure with this stoichiometry = 0 meV per atom
E = -5.918 eV per atom
M_tot = 0.01 μB per formula unit
space group = Pm, No. 6

The structure in POSCAR format:
```
Tl2CrOs
1.0
2.999 0.000 0.000
0.000 3.028 0.000
-1.482 0.000 8.710
Tl Cr Os
2 1 1
Direct
0.000 0.000 0.000 Tl
0.178 0.500 0.348 Tl
0.799 0.000 0.593 Cr
0.371 0.500 0.737 Os
```